Record 1
The following is a DFT calculation (GGA-PBEsol) of a relaxed Be2CrCd crystal.

The calculation puts the calculated volume at 46.7 Å³/f.u. The space group is No. 8. The total DFT energy (no corrections) comes out at -4.45 eV per atom.

Lattice parameters (Å, degrees): 4.6263 4.6263 4.3165 107.47 107.47 32.13
Element x y z (fractional)
1 Be 0.0000 0.0000 0.0000
2 Be 0.7050 0.7050 0.3135
3 Cr 0.2453 0.2453 0.8568
4 Cd 0.4607 0.4607 0.4834

***

Record 2
The following is a DFT calculation (GGA-PBEsol) of a relaxed BeCrCd crystal.

The calculation puts the calculated volume at 44.8 Å³/f.u. The space group is No. 216. The total DFT energy (no corrections) comes out at -4.49 eV per atom.

Lattice parameters (Å, degrees): 3.9857 3.9857 3.9857 60.00 60.00 60.00
Element x y z (fractional)
1 Be 0.0000 0.0000 0.0000
2 Cr 0.7500 0.7500 0.7500
3 Cd 0.2500 0.2500 0.2500

***

Record 3
The following is a DFT calculation (GGA-PBEsol) of a relaxed Cs3BeCd crystal.

The calculation puts the calculated volume at 351.5 Å³/f.u. The space group is No. 221. The total DFT energy (no corrections) comes out at -0.85 eV per atom.

Lattice parameters (Å, degrees): 7.0572 7.0572 7.0572 90.00 90.00 90.00
Element x y z (fractional)
1 Cs 0.0000 0.0000 0.5000
2 Cs 0.0000 0.5000 0.0000
3 Cs 0.5000 0.0000 0.0000
4 Be 0.5000 0.5000 0.5000
5 Cd 0.0000 0.0000 0.0000

***

Record 4
The following is a DFT calculation (GGA-PBEsol) of a relaxed BeCd2Cu crystal.

The calculation puts the calculated volume at 59.0 Å³/f.u. The space group is No. 123. The total DFT energy (no corrections) comes out at -2.45 eV per atom.

Lattice parameters (Å, degrees): 3.0793 3.0793 6.2253 90.00 90.00 90.00
Element x y z (fractional)
1 Be 0.0000 0.0000 0.0000
2 Cd 0.5000 0.5000 0.2422
3 Cd 0.5000 0.5000 0.7578
4 Cu 0.0000 0.0000 0.5000

***

Record 5
The following is a DFT calculation (GGA-PBEsol) of a relaxed Be2CdCu crystal.

The calculation puts the calculated volume at 47.6 Å³/f.u. The space group is No. 119. The total DFT energy (no corrections) comes out at -3.14 eV per atom.

Lattice parameters (Å, degrees): 4.5161 4.5161 4.5161 133.50 133.50 67.87
Element x y z (fractional)
1 Be 0.0000 0.0000 0.0000
2 Be 0.7500 0.2500 0.5000
3 Cd 0.5000 0.5000 0.0000
4 Cu 0.2500 0.7500 0.5000

***

Record 6
The following is a DFT calculation (GGA-PBEsol) of a relaxed Be2CdCu crystal.

The calculation puts the calculated volume at 46.8 Å³/f.u. The space group is No. 99. The total DFT energy (no corrections) comes out at -3.26 eV per atom.

Lattice parameters (Å, degrees): 2.8179 2.8179 5.8992 90.00 90.00 90.00
Element x y z (fractional)
1 Be 0.0000 0.0000 0.0000
2 Be 0.5000 0.5000 0.1922
3 Cd 0.0000 0.0000 0.4839
4 Cu 0.5000 0.5000 0.8079

***

Record 7
The following is a DFT calculation (GGA-PBEsol) of a relaxed BeCd2Cu crystal.

The calculation puts the calculated volume at 59.3 Å³/f.u. The space group is No. 139. The total DFT energy (no corrections) comes out at -2.46 eV per atom.

Lattice parameters (Å, degrees): 4.3925 4.3925 4.3925 120.70 120.70 88.78
Element x y z (fractional)
1 Be 0.0000 0.0000 0.0000
2 Cd 0.2500 0.7500 0.5000
3 Cd 0.7500 0.2500 0.5000
4 Cu 0.5000 0.5000 0.0000

***

Record 8
The following is a DFT calculation (GGA-PBEsol) of a relaxed BeCd2Cu2 crystal.

The calculation puts the calculated volume at 77.9 Å³/f.u. The space group is No. 139. The total DFT energy (no corrections) comes out at -2.64 eV per atom.

Lattice parameters (Å, degrees): 7.6788 7.6788 7.6788 155.47 155.47 34.96
Element x y z (fractional)
1 Be 0.0000 0.0000 0.0000
2 Cd 0.3993 0.3993 0.0000
3 Cd 0.6007 0.6007 0.0000
4 Cu 0.2500 0.7500 0.5000
5 Cu 0.7500 0.2500 0.5000

***

Record 9
The following is a DFT calculation (GGA-PBEsol) of a relaxed Be2CdCu crystal.

The calculation puts the calculated volume at 47.4 Å³/f.u. The space group is No. 8. The total DFT energy (no corrections) comes out at -3.17 eV per atom.

Lattice parameters (Å, degrees): 4.5361 4.5361 4.2190 107.79 107.79 35.22
Element x y z (fractional)
1 Be 0.0000 0.0000 0.0000
2 Be 0.7196 0.7196 0.2422
3 Cd 0.2345 0.2345 0.7520
4 Cu 0.4572 0.4572 0.4150

***

Record 10
The following is a DFT calculation (GGA-PBEsol) of a relaxed BeCd2Cu crystal.

The calculation puts the calculated volume at 61.1 Å³/f.u. The space group is No. 166. The total DFT energy (no corrections) comes out at -2.36 eV per atom.

Lattice parameters (Å, degrees): 8.7382 8.7382 8.7382 18.88 18.88 18.88
Element x y z (fractional)
1 Be 0.0000 0.0000 0.0000
2 Cd 0.2524 0.2524 0.2524
3 Cd 0.7476 0.7476 0.7476
4 Cu 0.5000 0.5000 0.5000

***

Record 11
The following is a DFT calculation (GGA-PBEsol) of a relaxed LaBeCdCu2 crystal.

The calculation puts the calculated volume at 89.7 Å³/f.u. The space group is No. 123. The total DFT energy (no corrections) comes out at -3.77 eV per atom.

Lattice parameters (Å, degrees): 4.4579 4.4579 4.5155 90.00 90.00 90.00
Element x y z (fractional)
1 La 0.0000 0.0000 0.0000
2 Be 0.5000 0.5000 0.5000
3 Cd 0.5000 0.5000 0.0000
4 Cu 0.0000 0.5000 0.5000
5 Cu 0.5000 0.0000 0.5000

***

Record 12
The following is a DFT calculation (GGA-PBEsol) of a relaxed Be3Tl2Cd2F12 crystal.

The formation energy without anion corrections comes out at -251 kJ per mole of atoms. The calculation puts the calculated volume at 280.4 Å³/f.u. The space group is No. 198. The total DFT energy (no corrections) comes out at -4.85 eV per atom.

Lattice parameters (Å, degrees): 10.3896 10.3896 10.3896 90.00 90.00 90.00
Element x y z (fractional)
1 Be 0.0099 0.2261 0.3742
2 Be 0.1258 0.9901 0.7261
3 Be 0.2261 0.3742 0.0099
4 Be 0.2739 0.6258 0.5099
5 Be 0.3742 0.0099 0.2261
6 Be 0.4901 0.7739 0.8742
7 Be 0.5099 0.2739 0.6258
8 Be 0.6258 0.5099 0.2739
9 Be 0.7261 0.1258 0.9901
10 Be 0.7739 0.8742 0.4901
11 Be 0.8742 0.4901 0.7739
12 Be 0.9901 0.7261 0.1258
13 Tl 0.0463 0.0463 0.0463
14 Tl 0.1924 0.3076 0.6924
15 Tl 0.3076 0.6924 0.1924
16 Tl 0.4537 0.9537 0.5463
17 Tl 0.5463 0.4537 0.9537
18 Tl 0.6924 0.1924 0.3076
19 Tl 0.8076 0.8076 0.8076
20 Tl 0.9537 0.5463 0.4537
21 Cd 0.0851 0.9149 0.4149
22 Cd 0.1740 0.6740 0.8260
23 Cd 0.3260 0.3260 0.3260
24 Cd 0.4149 0.0851 0.9149
25 Cd 0.5851 0.5851 0.5851
26 Cd 0.6740 0.8260 0.1740
27 Cd 0.8260 0.1740 0.6740
28 Cd 0.9149 0.4149 0.0851
29 F 0.0137 0.0892 0.3125
30 F 0.0150 0.0897 0.7280
31 F 0.0384 0.8272 0.2245
32 F 0.0758 0.8539 0.7632
33 F 0.0892 0.3125 0.0137
34 F 0.0897 0.7280 0.0150
35 F 0.1461 0.2632 0.4242
36 F 0.1728 0.7245 0.4616
37 F 0.1875 0.9863 0.5892
38 F 0.2245 0.0384 0.8272
39 F 0.2280 0.4850 0.9103
40 F 0.2368 0.5758 0.6461
41 F 0.2632 0.4242 0.1461
42 F 0.2720 0.5150 0.4103
43 F 0.2755 0.9616 0.3272
44 F 0.3125 0.0137 0.0892
45 F 0.3272 0.2755 0.9616
46 F 0.3539 0.7368 0.9242
47 F 0.4103 0.2720 0.5150
48 F 0.4108 0.6875 0.5137
49 F 0.4242 0.1461 0.2632
50 F 0.4616 0.1728 0.7245
51 F 0.4850 0.9103 0.2280
52 F 0.4863 0.9108 0.8125
53 F 0.5137 0.4108 0.6875
54 F 0.5150 0.4103 0.2720
55 F 0.5384 0.6728 0.7755
56 F 0.5758 0.6461 0.2368
57 F 0.5892 0.1875 0.9863
58 F 0.5897 0.7720 0.9850
59 F 0.6461 0.2368 0.5758
60 F 0.6728 0.7755 0.5384
61 F 0.6875 0.5137 0.4108
62 F 0.7245 0.4616 0.1728
63 F 0.7280 0.0150 0.0897
64 F 0.7368 0.9242 0.3539
65 F 0.7632 0.0758 0.8539
66 F 0.7720 0.9850 0.5897
67 F 0.7755 0.5384 0.6728
68 F 0.8125 0.4863 0.9108
69 F 0.8272 0.2245 0.0384
70 F 0.8539 0.7632 0.0758
71 F 0.9103 0.2280 0.4850
72 F 0.9108 0.8125 0.4863
73 F 0.9242 0.3539 0.7368
74 F 0.9616 0.3272 0.2755
75 F 0.9850 0.5897 0.7720
76 F 0.9863 0.5892 0.1875

***

- The lowest total DFT energy (no corrections) belongs to which entry?
  Be3Tl2Cd2F12

***

Please write out number 12 again, unchanged.
The following is a DFT calculation (GGA-PBEsol) of a relaxed Be3Tl2Cd2F12 crystal.

The formation energy without anion corrections comes out at -251 kJ per mole of atoms. The calculation puts the calculated volume at 280.4 Å³/f.u. The space group is No. 198. The total DFT energy (no corrections) comes out at -4.85 eV per atom.

Lattice parameters (Å, degrees): 10.3896 10.3896 10.3896 90.00 90.00 90.00
Element x y z (fractional)
1 Be 0.0099 0.2261 0.3742
2 Be 0.1258 0.9901 0.7261
3 Be 0.2261 0.3742 0.0099
4 Be 0.2739 0.6258 0.5099
5 Be 0.3742 0.0099 0.2261
6 Be 0.4901 0.7739 0.8742
7 Be 0.5099 0.2739 0.6258
8 Be 0.6258 0.5099 0.2739
9 Be 0.7261 0.1258 0.9901
10 Be 0.7739 0.8742 0.4901
11 Be 0.8742 0.4901 0.7739
12 Be 0.9901 0.7261 0.1258
13 Tl 0.0463 0.0463 0.0463
14 Tl 0.1924 0.3076 0.6924
15 Tl 0.3076 0.6924 0.1924
16 Tl 0.4537 0.9537 0.5463
17 Tl 0.5463 0.4537 0.9537
18 Tl 0.6924 0.1924 0.3076
19 Tl 0.8076 0.8076 0.8076
20 Tl 0.9537 0.5463 0.4537
21 Cd 0.0851 0.9149 0.4149
22 Cd 0.1740 0.6740 0.8260
23 Cd 0.3260 0.3260 0.3260
24 Cd 0.4149 0.0851 0.9149
25 Cd 0.5851 0.5851 0.5851
26 Cd 0.6740 0.8260 0.1740
27 Cd 0.8260 0.1740 0.6740
28 Cd 0.9149 0.4149 0.0851
29 F 0.0137 0.0892 0.3125
30 F 0.0150 0.0897 0.7280
31 F 0.0384 0.8272 0.2245
32 F 0.0758 0.8539 0.7632
33 F 0.0892 0.3125 0.0137
34 F 0.0897 0.7280 0.0150
35 F 0.1461 0.2632 0.4242
36 F 0.1728 0.7245 0.4616
37 F 0.1875 0.9863 0.5892
38 F 0.2245 0.0384 0.8272
39 F 0.2280 0.4850 0.9103
40 F 0.2368 0.5758 0.6461
41 F 0.2632 0.4242 0.1461
42 F 0.2720 0.5150 0.4103
43 F 0.2755 0.9616 0.3272
44 F 0.3125 0.0137 0.0892
45 F 0.3272 0.2755 0.9616
46 F 0.3539 0.7368 0.9242
47 F 0.4103 0.2720 0.5150
48 F 0.4108 0.6875 0.5137
49 F 0.4242 0.1461 0.2632
50 F 0.4616 0.1728 0.7245
51 F 0.4850 0.9103 0.2280
52 F 0.4863 0.9108 0.8125
53 F 0.5137 0.4108 0.6875
54 F 0.5150 0.4103 0.2720
55 F 0.5384 0.6728 0.7755
56 F 0.5758 0.6461 0.2368
57 F 0.5892 0.1875 0.9863
58 F 0.5897 0.7720 0.9850
59 F 0.6461 0.2368 0.5758
60 F 0.6728 0.7755 0.5384
61 F 0.6875 0.5137 0.4108
62 F 0.7245 0.4616 0.1728
63 F 0.7280 0.0150 0.0897
64 F 0.7368 0.9242 0.3539
65 F 0.7632 0.0758 0.8539
66 F 0.7720 0.9850 0.5897
67 F 0.7755 0.5384 0.6728
68 F 0.8125 0.4863 0.9108
69 F 0.8272 0.2245 0.0384
70 F 0.8539 0.7632 0.0758
71 F 0.9103 0.2280 0.4850
72 F 0.9108 0.8125 0.4863
73 F 0.9242 0.3539 0.7368
74 F 0.9616 0.3272 0.2755
75 F 0.9850 0.5897 0.7720
76 F 0.9863 0.5892 0.1875

***

- Look up the calculated volume of the twelfth one.
  280.4 Å³/f.u.